No. 1
Below is crystalline YInSe3 at its relaxed geometry, with properties calculated at the GGA-PBE level.

Cell lengths 8.0333, 8.0333, 8.2953 Å; angles 112.89, 112.89, 37.56 degrees
With the nearest neighbours (Å) after each atom.
Sites, in units of the cell vectors:
Y  0.1645  0.1645  0.0897  6 Se 2.81-2.99
Y  0.8355  0.8355  0.9103  6 Se 2.81-2.99
In  0.4676  0.4676  0.6358  4 Se 2.79-2.96, 1 In 2.80
In  0.5324  0.5324  0.3642  4 Se 2.79-2.96, 1 In 2.80
Se  0.0180  0.0180  0.2285  2 In 2.79, 2 Y 2.90-2.94
Se  0.2655  0.2655  0.4848  2 Se 2.66, 1 In 2.80
Se  0.3459  0.3459  0.0493  3 Y 2.81-2.91, 1 In 2.96
Se  0.6541  0.6541  0.9507  3 Y 2.81-2.91, 1 In 2.96
Se  0.7345  0.7345  0.5152  2 Se 2.66, 1 In 2.80
Se  0.9820  0.9820  0.7715  2 In 2.79, 2 Y 2.90-2.94

## Properties
Mass density (Mg/m³): 4.92
Energy (eV/atom): -4.97
Energy relative to the elements, uncorrected (eV per atom): -1.04
Calculated volume (Å³/atom): 29.8
Crystal system: monoclinic
Space-group type: C2/m (12)

No. 2
Below is crystalline Rb2Ce2CuS6 at its relaxed geometry, with properties calculated at the GGA-PBE level.

Cell lengths 7.0305, 7.0305, 8.1418 Å; angles 97.36, 97.36, 122.38 degrees
With the nearest neighbours (Å) after each atom.
Sites, in units of the cell vectors:
Rb  0.1566  0.8434  0.0000  6 S 3.31-3.40
Rb  0.8434  0.1566  0.0000  6 S 3.31-3.40
Ce  0.3345  0.6655  0.5000  6 S 2.68-2.80
Ce  0.6655  0.3345  0.5000  6 S 2.68-2.80
Cu  0.0000  0.0000  0.5000  2 S 2.30
S  0.0589  0.4092  0.6922  2 Ce 2.68-2.74, 1 Cu 2.88
S  0.2341  0.2341  0.3404  1 Cu 2.30
S  0.4092  0.0589  0.6922  2 Ce 2.68-2.74, 1 Cu 2.88
S  0.5908  0.9411  0.3078  2 Ce 2.68-2.74, 1 Cu 2.88
S  0.7659  0.7659  0.6596  1 Cu 2.30
S  0.9411  0.5908  0.3078  2 Ce 2.68-2.74, 1 Cu 2.88

## Properties
Mass density (Mg/m³): 3.58
Energy (eV/atom): -5.15
Energy relative to the elements, uncorrected (eV per atom): -1.28
Calculated volume (Å³/atom): 29.8
Crystal system: monoclinic
Space-group type: C2/m (12)

No. 3
Below is crystalline CrReAg at its relaxed geometry, with properties calculated at the GGA-PBE level.

Cell lengths 7.1590, 6.9672, 2.6899 Å; angles 83.06, 75.04, 21.90 degrees
With the nearest neighbours (Å) after each atom.
Sites, in units of the cell vectors:
Cr  0.0000  0.0000  0.0000  2 Re 2.42, 4 Cr 2.69
Re  0.6392  0.6392  0.3608  2 Cr 2.42, 4 Re 2.69
Ag  0.3261  0.3261  0.6739  6 Ag 2.69-3.01, 2 Cr 2.80, 2 Re 2.96

## Properties
Mass density (Mg/m³): 12.59
Energy (eV/atom): -7.87
Calculated volume (Å³/atom): 15.2
Crystal system: orthorhombic
Energy of formation (eV per atom): 0.44
Space-group type: Fmm2 (42)

no.,magnetization (μB/atom)
1,0.000
2,0.086
3,0.000